Record 1
! PBE LiCr2Ni, optimized geometry; values from VASP
&SYSTEM
  ibrav = 0, nat = 4, ntyp = 3
/
ATOMIC_SPECIES
Li 6.94 Li.upf
Cr 52.00 Cr.upf
Ni 58.69 Ni.upf
CELL_PARAMETERS angstrom
2.359 0.000 0.000
0.000 3.785 0.000
0.000 0.000 5.121
ATOMIC_POSITIONS crystal
Li 0.000 0.000 0.000
Cr 0.000 0.000 0.490
Cr 0.500 0.500 0.730
Ni 0.500 0.500 0.223
! Space group: No. 25
! DFT total energy: -25.7 eV per cell
! Total moment: 0.0 μB/f.u.
! ΔH_f (0 K): 0.3047 eV per atom
! Relative energy among the computed polymorphs: 136.1 meV per atom
! Theoretical density: 6160 kg/m3

=====

Record 2
! PBE Y3PaSe4, optimized geometry; values from VASP
&SYSTEM
  ibrav = 0, nat = 16, ntyp = 3
/
ATOMIC_SPECIES
Y 88.91 Y.upf
Pa 231.04 Pa.upf
Se 78.96 Se.upf
CELL_PARAMETERS angstrom
4.008 0.000 0.000
-2.004 3.471 0.000
0.000 0.000 27.747
ATOMIC_POSITIONS crystal
Y 0.000 0.000 0.000
Y 0.000 0.000 0.500
Y 0.333 0.667 0.125
Y 0.333 0.667 0.375
Y 0.667 0.333 0.625
Y 0.667 0.333 0.875
Pa 0.333 0.667 0.750
Pa 0.667 0.333 0.250
Se 0.000 0.000 0.185
Se 0.000 0.000 0.315
Se 0.000 0.000 0.685
Se 0.000 0.000 0.815
Se 0.333 0.667 0.562
Se 0.333 0.667 0.938
Se 0.667 0.333 0.062
Se 0.667 0.333 0.438
! Space group: No. 194
! DFT total energy: -111.2 eV per cell
! Total moment: 0.7 μB/f.u.
! Theoretical density: 7000 kg/m3